# TlIr7 PBE-GGA optimized geometry
data_TlIr7
_space_group_name_H-M_alt 'F m -3 m'
_space_group_IT_number 225
_space_group_name_Hall '-F 4 2 3'
_cell_length_a 7.883
_cell_length_b 7.883
_cell_length_c 7.883
_cell_angle_alpha 90.00
_cell_angle_beta 90.00
_cell_angle_gamma 90.00
loop_
_atom_site_label
_atom_site_type_symbol
_atom_site_fract_x
_atom_site_fract_y
_atom_site_fract_z
Tl1 Tl 0.000 0.000 0.000
Ir1 Ir 0.000 0.000 0.500
Ir2 Ir 0.000 0.250 0.250
# Crystal system ... cubic
# Energy ... -0.2863 Ha/atom
# Theoretical density ... 21.01 g/cm³
# Formation energy from the elements ... 260 meV per atom